Entry 1:
Density functional theory data (PBE) for a geometry-optimized ReAu2 structure.

The formation enthalpy at 0 K is 0.685 eV per atom. The energy above the most stable polymorph in this dataset is 0.356 eV per atom. The density of states at the Fermi level is 1.16 states/eV per atom.

The structure belongs to space group Cmcm (No. 63); the cell edges are 2.7486, 15.2412 and 4.8221 Å and the angles 90.00°, 90.00° and 90.00°. The asymmetric unit holds Re at (0.0000, 0.1110, 0.2500), Au at (0.0000, 0.2240, 0.7500) and Au at (0.0000, 0.4453, 0.2500).



Entry 2:
Density functional theory data (PBE) for a geometry-optimized ReAu2 structure.

The formation enthalpy at 0 K is 0.329 eV per atom. The energy above the most stable polymorph in this dataset is 0.000 eV per atom. The density of states at the Fermi level is 0.38 states/eV per atom.

The structure belongs to space group Cmcm (No. 63); the cell edges are 2.8167, 15.4678 and 4.6102 Å and the angles 90.00°, 90.00° and 90.00°. The asymmetric unit holds Re at (0.0000, 0.2246, 0.2500), Au at (0.0000, 0.1177, 0.7500) and Au at (0.0000, 0.4413, 0.7500).



Entry 3:
Density functional theory data (PBE) for a geometry-optimized ReAu2 structure.

The formation enthalpy at 0 K is 0.396 eV per atom. The energy above the most stable polymorph in this dataset is 0.067 eV per atom. The density of states at the Fermi level is 0.51 states/eV per atom.

The structure belongs to space group C2/m (No. 12); the cell edges are 10.7744, 2.8157 and 7.0317 Å and the angles 90.00°, 107.44° and 90.00°. The asymmetric unit holds Re at (0.2074, 0.0000, 0.1210), Au at (0.0144, 0.5000, 0.8094) and Au at (0.1441, 0.0000, 0.5407).



Entry 4:
Density functional theory data (PBE) for a geometry-optimized Re3Au2 structure.

The formation enthalpy at 0 K is 0.373 eV per atom. The density of states at the Fermi level is 0.99 states/eV per atom.

The structure belongs to space group R-3m (No. 166, hexagonal axes); the cell edges are 2.8149, 2.8149 and 35.2082 Å and the angles 90.00°, 90.00° and 120.00°. The asymmetric unit holds Re at (0.0000, 0.0000, 0.0000), Re at (0.0000, 0.0000, 0.1964) and Au at (0.0000, 0.0000, 0.4004).



Entry 5:
Density functional theory data (PBE) for a geometry-optimized ReAu2 structure.

The formation enthalpy at 0 K is 0.426 eV per atom. The energy above the most stable polymorph in this dataset is 0.097 eV per atom. The density of states at the Fermi level is 0.70 states/eV per atom.

The structure belongs to space group Pnma (No. 62); the cell edges are 5.9508, 3.8887 and 8.9548 Å and the angles 90.00°, 90.00° and 90.00°. The asymmetric unit holds Re at (0.0911, 0.2500, 0.0586), Au at (0.1156, 0.2500, 0.4130) and Au at (0.1291, 0.2500, 0.7480).



Entry 6:
Density functional theory data (PBE) for a geometry-optimized ReAu2 structure.

The formation enthalpy at 0 K is 0.912 eV per atom. The energy above the most stable polymorph in this dataset is 0.583 eV per atom. The density of states at the Fermi level is 1.02 states/eV per atom.

The structure belongs to space group P6_3/mmc (No. 194); the cell edges are 4.6388, 4.6388 and 5.6041 Å and the angles 90.00°, 90.00° and 120.00°. The asymmetric unit holds Re at (0.3333, 0.6667, 0.2500), Au at (0.0000, 0.0000, 0.0000) and Au at (0.3333, 0.6667, 0.7500).



Entry 7:
Density functional theory data (PBE) for a geometry-optimized Re3Au5 structure.

The formation enthalpy at 0 K is 0.821 eV per atom. The energy above the most stable polymorph in this dataset is 0.280 eV per atom. The density of states at the Fermi level is 1.10 states/eV per atom.

The structure belongs to space group P6_3/mcm (No. 193); the cell edges are 8.0351, 8.0351 and 5.0047 Å and the angles 90.00°, 90.00° and 120.00°. The asymmetric unit holds Re at (0.0000, 0.4200, 0.2500), Au at (0.0000, 0.2179, 0.7500) and Au at (0.3333, 0.6667, 0.0000).



Entry 8:
Density functional theory data (PBE) for a geometry-optimized Re5Au structure.

The formation enthalpy at 0 K is 0.193 eV per atom. The energy above the most stable polymorph in this dataset is 0.025 eV per atom. The density of states at the Fermi level is 0.80 states/eV per atom.

The structure belongs to space group Cm (No. 8); the cell edges are 10.1555, 2.8153 and 6.6200 Å and the angles 90.00°, 104.35° and 90.00°. The asymmetric unit holds Re at (0.0000, 0.0000, 0.0000), Re at (0.0495, 0.0000, 0.6220), Re at (0.2230, 0.5000, 0.9483), Re at (0.3367, 0.0000, 0.6836), Re at (0.3896, 0.0000, 0.2786) and Au at (0.1681, 0.5000, 0.3441).



Which of these has the lowest formation enthalpy at 0 K?
Re5Au